# 1
A plane-wave DFT calculation with GGA-PBE was carried out for an optimized crystal structure of CaPm6Pr2Er3.

Computed properties:
energy of formation from the pure elements	0.0304	eV/atom
crystal system	monoclinic

abc: 6.3084 6.3084 12.0091
angles: 95.00 95.00 120.01
Atoms (fractional coordinates):
Ca  0.0000  0.0000  0.0000
Pm  0.0863  0.4238  0.2578
Pm  0.2509  0.2509  0.7416
Pm  0.4238  0.0863  0.2578
Pm  0.5762  0.9137  0.7422
Pm  0.7491  0.7491  0.2584
Pm  0.9137  0.5762  0.7422
Pr  0.3331  0.6669  0.0000
Pr  0.6669  0.3331  0.0000
Er  0.1659  0.8341  0.5000
Er  0.5000  0.5000  0.5000
Er  0.8341  0.1659  0.5000

***

# 2
A plane-wave DFT calculation with GGA-PBE was carried out for an optimized crystal structure of EuMg2Sb.

Computed properties:
crystal system	tetragonal
energy relative to the elements, uncorrected	-1.8	eV/f.u.

abc: 4.5886 4.5886 4.9607
angles: 90.00 90.00 90.00
Atoms (fractional coordinates):
Eu  0.0000  0.0000  0.0000
Mg  0.0000  0.5000  0.5000
Mg  0.5000  0.0000  0.5000
Sb  0.5000  0.5000  0.0000

***

# 3
A plane-wave DFT calculation with GGA-PBE was carried out for an optimized crystal structure of BaLa2AgRh.

Computed properties:
energy of formation from the pure elements	-0.2057	eV/atom
crystal system	tetragonal

abc: 5.4343 5.4343 5.7105
angles: 90.00 90.00 90.00
Atoms (fractional coordinates):
Ba  0.0000  0.0000  0.0000
La  0.0000  0.5000  0.5000
La  0.5000  0.0000  0.5000
Ag  0.5000  0.5000  0.0000
Rh  0.5000  0.5000  0.5000

***

Values of energy, in order: -4.449, -4.857, -4.602, all in eV per atom.
Values of V, in order: 408, 104, 169, all in Å³ per cell.